First-principles (PBE-GGA) data for a relaxed structure of Sn2Sb2S5, as listed in Alexandria.

Computed properties:
raw formation energy = -275 meV/atom
offset from the most stable computed form = 4.6 kJ/mol of atoms
spin magnetization = 0.0 μB per formula unit

Cell and atoms, written as CIF:
```
data_Sn2Sb2S5
_space_group_name_H-M_alt 'I m a 2'
_space_group_IT_number 46
_cell_length_a 17.2683
_cell_length_b 7.6078
_cell_length_c 7.6479
_cell_angle_alpha 90.00
_cell_angle_beta 90.00
_cell_angle_gamma 90.00
loop_
_space_group_symop_operation_xyz
'x,y,z'
'-x,-y,z'
'-x+1/2,y,z'
'x+1/2,-y,z'
'x+1/2,y+1/2,z+1/2'
'-x+1/2,-y+1/2,z+1/2'
'-x,y+1/2,z+1/2'
'x,-y+1/2,z+1/2'
loop_
_atom_site_label
_atom_site_fract_x
_atom_site_fract_y
_atom_site_fract_z
_atom_site_occupancy
Sn1 0.1149 0.0278 0.0000 1
Sb1 0.0000 0.0000 0.5570 1
Sb2 0.2500 0.5021 0.9758 1
S1 0.0498 0.2104 0.3256 1
S2 0.1470 0.6183 0.1676 1
S3 0.2500 0.1866 0.0751 1
```